Record 1
# TbSmGa2Pt2 (PBE, relaxed)
# * formation energy: -1.05 eV/atom
# * N(E_F): 0.5909 states/eV/atom
# * electronic total energy: -5.633 eV per atom
# * space group: P-3m1, No. 164
data_TbSmGa2Pt2
_cell_length_a 4.4796
_cell_length_b 4.4796
_cell_length_c 7.1148
_cell_angle_alpha 90.00
_cell_angle_beta 90.00
_cell_angle_gamma 120.00
_space_group_name_H-M_alt 'P 1'
_space_group_IT_number 1
loop_
_space_group_symop_operation_xyz
'x,y,z'
loop_
_atom_site_label
_atom_site_fract_x
_atom_site_fract_y
_atom_site_fract_z
Tb1 0.0000 0.0000 0.0000
Sm1 0.0000 0.0000 0.5000
Ga1 0.3333 0.6667 0.7603
Ga2 0.6667 0.3333 0.2397
Pt1 0.3333 0.6667 0.2390
Pt2 0.6667 0.3333 0.7610

Record 2
# Sc2HgS (PBE, relaxed)
# * N(E_F): 0.4002 states/eV/atom
# * distance to the lowest polymorph of the same formula: 0.6749 eV per atom
# * electronic total energy: -4.736 eV per atom
# * space group: R-3m, No. 166
data_Sc2HgS
_cell_length_a 8.5379
_cell_length_b 8.5379
_cell_length_c 8.5379
_cell_angle_alpha 26.80
_cell_angle_beta 26.80
_cell_angle_gamma 26.80
_space_group_name_H-M_alt 'P 1'
_space_group_IT_number 1
loop_
_space_group_symop_operation_xyz
'x,y,z'
loop_
_atom_site_label
_atom_site_fract_x
_atom_site_fract_y
_atom_site_fract_z
Sc1 0.0945 0.0945 0.0945
Sc2 0.9055 0.9055 0.9055
Hg1 0.5000 0.5000 0.5000
S1 0.0000 0.0000 0.0000

Record 3
# La8HgPb2 (PBE, relaxed)
# * formation energy: -0.27 eV/atom
# * N(E_F): 1.3772 states/eV/atom
# * electronic total energy: -4.552 eV per atom
# * space group: Immm, No. 71
data_La8HgPb2
_cell_length_a 9.2743
_cell_length_b 9.2743
_cell_length_c 9.2743
_cell_angle_alpha 147.61
_cell_angle_beta 118.32
_cell_angle_gamma 71.41
_space_group_name_H-M_alt 'P 1'
_space_group_IT_number 1
loop_
_space_group_symop_operation_xyz
'x,y,z'
loop_
_atom_site_label
_atom_site_fract_x
_atom_site_fract_y
_atom_site_fract_z
La1 0.1167 0.3421 0.7746
La2 0.1444 0.1444 0.0000
La3 0.3176 0.0000 0.3176
La4 0.4325 0.6579 0.7746
La5 0.5675 0.3421 0.2254
La6 0.6824 0.0000 0.6824
La7 0.8556 0.8556 0.0000
La8 0.8833 0.6579 0.2254
Hg1 0.0000 0.5000 0.5000
Pb1 0.3037 0.8037 0.5000
Pb2 0.6963 0.1963 0.5000

Record 4
# ZrBr2O (PBE, relaxed)
# * N(E_F): 0.0054 states/eV/atom
# * electronic total energy: -4.686 eV per atom
# * space group: Fm-3m, No. 225
data_ZrBr2O
_cell_length_a 4.6424
_cell_length_b 4.6424
_cell_length_c 4.6424
_cell_angle_alpha 60.00
_cell_angle_beta 60.00
_cell_angle_gamma 60.00
_space_group_name_H-M_alt 'P 1'
_space_group_IT_number 1
loop_
_space_group_symop_operation_xyz
'x,y,z'
loop_
_atom_site_label
_atom_site_fract_x
_atom_site_fract_y
_atom_site_fract_z
Zr1 0.0000 0.0000 0.0000
Br1 0.2500 0.2500 0.2500
Br2 0.7500 0.7500 0.7500
O1 0.5000 0.5000 0.5000

Record 5
# Tb7PS5 (PBE, relaxed)
# * N(E_F): 0.4357 states/eV/atom
# * electronic total energy: -6.273 eV per atom
# * space group: Cm, No. 8
data_Tb7PS5
_cell_length_a 6.7186
_cell_length_b 6.7186
_cell_length_c 23.4513
_cell_angle_alpha 91.82
_cell_angle_beta 91.82
_cell_angle_gamma 33.51
_space_group_name_H-M_alt 'P 1'
_space_group_IT_number 1
loop_
_space_group_symop_operation_xyz
'x,y,z'
loop_
_atom_site_label
_atom_site_fract_x
_atom_site_fract_y
_atom_site_fract_z
Tb1 0.0000 0.0000 0.0000
Tb2 0.0080 0.0080 0.5748
Tb3 0.1037 0.1037 0.2854
Tb4 0.1799 0.1799 0.7895
Tb5 0.2752 0.2752 0.5002
Tb6 0.2845 0.2845 0.0750
Tb7 0.4402 0.4402 0.8569
Tb8 0.4565 0.4565 0.7150
Tb9 0.5442 0.5442 0.4221
Tb10 0.5647 0.5647 0.1445
Tb11 0.7198 0.7198 0.9303
Tb12 0.7391 0.7391 0.6529
Tb13 0.8268 0.8268 0.3600
Tb14 0.8439 0.8439 0.2181
P1 0.4485 0.4485 0.3049
P2 0.8351 0.8351 0.7703
S1 0.0806 0.0806 0.8931
S2 0.0985 0.0985 0.6816
S3 0.1848 0.1848 0.3934
S4 0.2036 0.2036 0.1819
S5 0.3621 0.3621 0.9651
S6 0.3686 0.3686 0.6084
S7 0.6423 0.6423 0.0374
S8 0.6416 0.6416 0.5375
S9 0.9147 0.9147 0.4666
S10 0.9223 0.9223 0.1099

Record 6
# Ho3ErPd4 (PBE, relaxed)
# * formation energy: -0.91 eV/atom
# * N(E_F): 0.4290 states/eV/atom
# * distance to the lowest polymorph of the same formula: 0.0000 eV per atom
# * electronic total energy: -5.795 eV per atom
# * space group: P4/mmm, No. 123
data_Ho3ErPd4
_cell_length_a 4.9787
_cell_length_b 4.9787
_cell_length_c 6.8416
_cell_angle_alpha 90.00
_cell_angle_beta 90.00
_cell_angle_gamma 90.00
_space_group_name_H-M_alt 'P 1'
_space_group_IT_number 1
loop_
_space_group_symop_operation_xyz
'x,y,z'
loop_
_atom_site_label
_atom_site_fract_x
_atom_site_fract_y
_atom_site_fract_z
Ho1 0.0000 0.0000 0.0000
Ho2 0.0000 0.0000 0.5000
Ho3 0.5000 0.5000 0.0000
Er1 0.5000 0.5000 0.5000
Pd1 0.0000 0.5000 0.2510
Pd2 0.0000 0.5000 0.7490
Pd3 0.5000 0.0000 0.2510
Pd4 0.5000 0.0000 0.7490

Record 7
# Y2CrAs2 (PBE, relaxed)
# * formation energy: -0.83 eV/atom
# * N(E_F): 0.4977 states/eV/atom
# * electronic total energy: -7.200 eV per atom
# * space group: P4/mbm, No. 127
data_Y2CrAs2
_cell_length_a 7.3650
_cell_length_b 7.3650
_cell_length_c 4.0136
_cell_angle_alpha 90.00
_cell_angle_beta 90.00
_cell_angle_gamma 90.00
_space_group_name_H-M_alt 'P 1'
_space_group_IT_number 1
loop_
_space_group_symop_operation_xyz
'x,y,z'
loop_
_atom_site_label
_atom_site_fract_x
_atom_site_fract_y
_atom_site_fract_z
Y1 0.1587 0.3414 0.0000
Y2 0.3414 0.8414 0.0000
Y3 0.6586 0.1587 0.0000
Y4 0.8414 0.6586 0.0000
Cr1 0.0000 0.0000 0.5000
Cr2 0.5000 0.5000 0.5000
As1 0.1526 0.6526 0.5000
As2 0.3474 0.1526 0.5000
As3 0.6526 0.8474 0.5000
As4 0.8474 0.3474 0.5000

Record 8
# Fe5Sn (PBE, relaxed)
# * formation energy: 0.05 eV/atom
# * N(E_F): 0.9571 states/eV/atom
# * electronic total energy: -7.666 eV per atom
# * space group: Cmmm, No. 65
data_Fe5Sn
_cell_length_a 4.9379
_cell_length_b 4.9379
_cell_length_c 4.1615
_cell_angle_alpha 90.00
_cell_angle_beta 90.00
_cell_angle_gamma 130.11
_space_group_name_H-M_alt 'P 1'
_space_group_IT_number 1
loop_
_space_group_symop_operation_xyz
'x,y,z'
loop_
_atom_site_label
_atom_site_fract_x
_atom_site_fract_y
_atom_site_fract_z
Fe1 0.0000 0.0000 0.0000
Fe2 0.1771 0.8229 0.5000
Fe3 0.3223 0.6777 0.0000
Fe4 0.6777 0.3223 0.0000
Fe5 0.8229 0.1771 0.5000
Sn1 0.5000 0.5000 0.5000

Record 9
# NaHfAsSe2 (PBE, relaxed)
# * N(E_F): 1.0101 states/eV/atom
# * distance to the lowest polymorph of the same formula: 1.2955 eV per atom
# * electronic total energy: -3.893 eV per atom
# * space group: P4/mmm, No. 123
data_NaHfAsSe2
_cell_length_a 4.9458
_cell_length_b 4.9458
_cell_length_c 4.8148
_cell_angle_alpha 90.00
_cell_angle_beta 90.00
_cell_angle_gamma 90.00
_space_group_name_H-M_alt 'P 1'
_space_group_IT_number 1
loop_
_space_group_symop_operation_xyz
'x,y,z'
loop_
_atom_site_label
_atom_site_fract_x
_atom_site_fract_y
_atom_site_fract_z
Na1 0.0000 0.0000 0.0000
Hf1 0.5000 0.5000 0.5000
As1 0.0000 0.0000 0.5000
Se1 0.0000 0.5000 0.0000
Se2 0.5000 0.0000 0.0000

Record 10
# GaGeAs2Br (PBE, relaxed)
# * N(E_F): 1.1676 states/eV/atom
# * distance to the lowest polymorph of the same formula: 0.1198 eV per atom
# * electronic total energy: -3.150 eV per atom
# * space group: P4/mmm, No. 123
data_GaGeAs2Br
_cell_length_a 4.9532
_cell_length_b 4.9532
_cell_length_c 5.1347
_cell_angle_alpha 90.00
_cell_angle_beta 90.00
_cell_angle_gamma 90.00
_space_group_name_H-M_alt 'P 1'
_space_group_IT_number 1
loop_
_space_group_symop_operation_xyz
'x,y,z'
loop_
_atom_site_label
_atom_site_fract_x
_atom_site_fract_y
_atom_site_fract_z
Ga1 0.0000 0.0000 0.0000
Ge1 0.5000 0.5000 0.5000
As1 0.0000 0.5000 0.0000
As2 0.5000 0.0000 0.0000
Br1 0.0000 0.0000 0.5000

Record 11
# RbLiSmI5 (PBE, relaxed)
# * N(E_F): 0.0000 states/eV/atom
# * electronic total energy: -3.288 eV per atom
# * space group: C2/c, No. 15
data_RbLiSmI5
_cell_length_a 8.6123
_cell_length_b 8.6123
_cell_length_c 11.6218
_cell_angle_alpha 103.49
_cell_angle_beta 103.49
_cell_angle_gamma 107.24
_space_group_name_H-M_alt 'P 1'
_space_group_IT_number 1
loop_
_space_group_symop_operation_xyz
'x,y,z'
loop_
_atom_site_label
_atom_site_fract_x
_atom_site_fract_y
_atom_site_fract_z
Rb1 0.1474 0.8526 0.7500
Rb2 0.8526 0.1474 0.2500
Li1 0.1915 0.8085 0.2500
Li2 0.8085 0.1915 0.7500
Sm1 0.5000 0.5000 0.0000
Sm2 0.5000 0.5000 0.5000
I1 0.1222 0.2588 0.9327
I2 0.1858 0.5877 0.3899
I3 0.2588 0.1222 0.4327
I4 0.4123 0.8142 0.1101
I5 0.4186 0.5814 0.7500
I6 0.5814 0.4186 0.2500
I7 0.5877 0.1858 0.8899
I8 0.7412 0.8778 0.5673
I9 0.8142 0.4123 0.6101
I10 0.8778 0.7412 0.0673

Record 12
# K2IrBr4Cl2 (PBE, relaxed)
# * N(E_F): 0.8511 states/eV/atom
# * electronic total energy: -3.380 eV per atom
# * space group: C2/m, No. 12
data_K2IrBr4Cl2
_cell_length_a 7.2409
_cell_length_b 7.2409
_cell_length_c 7.4935
_cell_angle_alpha 121.01
_cell_angle_beta 121.01
_cell_angle_gamma 61.11
_space_group_name_H-M_alt 'P 1'
_space_group_IT_number 1
loop_
_space_group_symop_operation_xyz
'x,y,z'
loop_
_atom_site_label
_atom_site_fract_x
_atom_site_fract_y
_atom_site_fract_z
K1 0.2487 0.2487 0.2287
K2 0.7513 0.7513 0.7713
Ir1 0.0000 0.0000 0.5000
Br1 0.2150 0.7365 0.7105
Br2 0.2635 0.7850 0.2895
Br3 0.7365 0.2150 0.7105
Br4 0.7850 0.2635 0.2895
Cl1 0.2323 0.2323 0.7753
Cl2 0.7677 0.7677 0.2247